Entry from Alexandria: crystalline Li2Si2NiO6 at its relaxed geometry (PBE with a Hubbard U).

Computed properties:
Uncorrected energy = -144.911 eV for the cell shown

Unit cell a=5.129 b=5.146 c=10.294 alpha=102.95 beta=104.25 gamma=91.55
Element x y z (fractional)
Li 0.000 0.000 0.000
Li 0.084 0.589 0.169
Li 0.370 0.283 0.667
Li 0.794 0.201 0.498
Si 0.131 0.718 0.497
Si 0.515 0.348 0.999
Si 0.604 0.928 0.172
Si 0.719 0.803 0.670
Ni 0.197 0.154 0.334
Ni 0.934 0.395 0.832
O 0.096 0.519 0.347
O 0.137 0.036 0.498
O 0.312 0.327 0.849
O 0.405 0.652 0.609
O 0.428 0.094 0.061
O 0.455 0.617 0.111
O 0.550 0.039 0.322
O 0.716 0.116 0.663
O 0.835 0.352 0.002
O 0.849 0.759 0.822
O 0.880 0.629 0.560
O 0.921 0.934 0.171